HoInGaSn, relaxed, DFT PBE; DFT formation energy = -0.436 eV per atom; D(E_F) = 0.4907 states/eV/atom
1.0
4.366 0.000 0.000
0.000 4.518 0.000
0.000 0.000 4.761
Ho In Ga Sn
1 1 1 1
direct
0.000 0.000 0.000 Ho
0.000 0.500 0.500 In
0.500 0.500 0.000 Ga
0.500 0.000 0.500 Sn

***

SrHoInGa, relaxed, DFT PBE; DFT formation energy = -0.364 eV per atom; D(E_F) = 0.7133 states/eV/atom
1.0
0.000 3.818 3.818
3.818 0.000 3.818
3.818 3.818 0.000
Sr Ho In Ga
1 1 1 1
direct
0.000 0.000 0.000 Sr
0.500 0.500 0.500 Ho
0.250 0.250 0.250 In
0.750 0.750 0.750 Ga

***

Tb2Ho2InGa4, relaxed, DFT PBE; DFT formation energy = -0.146 eV per atom; D(E_F) = 0.7247 states/eV/atom
1.0
-3.540 3.540 4.582
3.540 -3.540 4.582
3.540 3.540 -4.582
Tb Ho In Ga
2 2 1 4
direct
0.186 0.186 0.000 Tb
0.814 0.814 0.000 Tb
0.250 0.750 0.500 Ho
0.750 0.250 0.500 Ho
0.500 0.500 0.000 In
0.239 0.239 0.477 Ga
0.239 0.761 0.000 Ga
0.761 0.239 0.000 Ga
0.761 0.761 0.523 Ga

***

TbHoInGa, relaxed, DFT PBE; DFT formation energy = -0.519 eV per atom; D(E_F) = 0.4351 states/eV/atom
1.0
3.582 0.000 0.000
0.000 3.582 0.000
0.000 0.000 7.699
Tb Ho In Ga
1 1 1 1
direct
0.000 0.000 0.000 Tb
0.000 0.000 0.469 Ho
0.500 0.500 0.732 In
0.500 0.500 0.237 Ga

***

TbHoInGa, relaxed, DFT PBE; DFT formation energy = -0.500 eV per atom; D(E_F) = 0.3361 states/eV/atom
1.0
0.000 3.674 3.674
3.674 0.000 3.674
3.674 3.674 0.000
Tb Ho In Ga
1 1 1 1
direct
0.000 0.000 0.000 Tb
0.500 0.500 0.500 Ho
0.250 0.250 0.250 In
0.750 0.750 0.750 Ga

***

Y2Ho2InGa4, relaxed, DFT PBE; DFT formation energy = -0.170 eV per atom; D(E_F) = 0.7281 states/eV/atom
1.0
-3.545 3.545 4.544
3.545 -3.545 4.544
3.545 3.545 -4.544
Y Ho In Ga
2 2 1 4
direct
0.250 0.750 0.500 Y
0.750 0.250 0.500 Y
0.184 0.184 0.000 Ho
0.816 0.816 0.000 Ho
0.500 0.500 0.000 In
0.239 0.239 0.477 Ga
0.239 0.761 0.000 Ga
0.761 0.239 0.000 Ga
0.761 0.761 0.523 Ga

***

Ho2ZnInGa, relaxed, DFT PBE; DFT formation energy = -0.404 eV per atom; D(E_F) = 0.6275 states/eV/atom
1.0
7.112 0.000 0.000
0.000 4.511 0.000
-2.282 0.000 7.236
Ho Zn In Ga
4 2 2 2
direct
0.146 0.250 0.368 Ho
0.306 0.250 0.946 Ho
0.694 0.750 0.054 Ho
0.854 0.750 0.632 Ho
0.092 0.750 0.051 Zn
0.908 0.250 0.949 Zn
0.330 0.750 0.657 In
0.670 0.250 0.343 In
0.421 0.750 0.293 Ga
0.579 0.250 0.707 Ga

***

Ho2Ga6Ir, relaxed, DFT PBE; DFT formation energy = -0.561 eV per atom; D(E_F) = 0.4524 states/eV/atom
1.0
5.189 -2.808 0.000
5.189 2.808 0.000
-0.883 0.000 5.761
Ho Ga Ir
2 6 1
direct
0.147 0.147 0.355 Ho
0.853 0.853 0.645 Ho
0.125 0.647 0.168 Ga
0.340 0.340 0.793 Ga
0.353 0.875 0.832 Ga
0.647 0.125 0.168 Ga
0.660 0.660 0.207 Ga
0.875 0.353 0.832 Ga
0.500 0.500 0.500 Ir

***

Ho4GaIr4, relaxed, DFT PBE; DFT formation energy = -0.683 eV per atom; D(E_F) = 0.5516 states/eV/atom
1.0
8.490 0.000 0.000
0.000 8.490 0.000
0.000 0.000 5.555
Ho Ga Ir
8 2 8
direct
0.054 0.681 0.115 Ho
0.181 0.946 0.615 Ho
0.319 0.554 0.615 Ho
0.446 0.819 0.115 Ho
0.554 0.181 0.885 Ho
0.681 0.446 0.385 Ho
0.819 0.054 0.385 Ho
0.946 0.319 0.885 Ho
0.250 0.250 0.250 Ga
0.750 0.750 0.750 Ga
0.004 0.366 0.385 Ir
0.134 0.004 0.115 Ir
0.366 0.496 0.115 Ir
0.496 0.134 0.385 Ir
0.504 0.866 0.615 Ir
0.634 0.504 0.885 Ir
0.866 0.996 0.885 Ir
0.996 0.634 0.615 Ir

***

Ho2GaIr, relaxed, DFT PBE; DFT formation energy = -0.773 eV per atom; D(E_F) = 0.8533 states/eV/atom
1.0
5.806 0.000 0.000
0.000 4.320 0.000
-2.713 0.000 7.120
Ho Ga Ir
4 2 2
direct
0.178 0.250 0.412 Ho
0.268 0.750 0.064 Ho
0.732 0.250 0.936 Ho
0.822 0.750 0.588 Ho
0.376 0.750 0.708 Ga
0.624 0.250 0.292 Ga
0.144 0.250 0.786 Ir
0.856 0.750 0.214 Ir

***

Ho5GaIr4, relaxed, DFT PBE; DFT formation energy = -0.799 eV per atom; D(E_F) = 0.7985 states/eV/atom
1.0
3.467 0.000 0.000
0.000 3.467 0.000
0.000 0.000 17.045
Ho Ga Ir
5 1 4
direct
0.000 0.000 0.000 Ho
0.000 0.000 0.196 Ho
0.000 0.000 0.390 Ho
0.000 0.000 0.610 Ho
0.000 0.000 0.804 Ho
0.500 0.500 0.500 Ga
0.500 0.500 0.098 Ir
0.500 0.500 0.297 Ir
0.500 0.500 0.703 Ir
0.500 0.500 0.902 Ir

***

Ho2Ga2Ir, relaxed, DFT PBE; DFT formation energy = -0.772 eV per atom; D(E_F) = 0.7485 states/eV/atom
1.0
5.364 -2.050 0.000
5.364 2.050 0.000
-4.537 0.000 9.616
Ho Ga Ir
4 4 2
direct
0.005 0.005 0.329 Ho
0.190 0.190 0.122 Ho
0.810 0.810 0.878 Ho
0.995 0.995 0.671 Ho
0.351 0.351 0.449 Ga
0.472 0.472 0.109 Ga
0.528 0.528 0.891 Ga
0.649 0.649 0.551 Ga
0.285 0.285 0.669 Ir
0.715 0.715 0.331 Ir

***

Ho3Ga8Ir3, relaxed, DFT PBE; DFT formation energy = -0.656 eV per atom; D(E_F) = 0.4940 states/eV/atom
1.0
-2.098 4.916 6.180
2.098 -4.916 6.180
2.098 4.916 -6.180
Ho Ga Ir
3 8 3
direct
0.000 0.000 0.000 Ho
0.331 0.331 0.000 Ho
0.669 0.669 0.000 Ho
0.041 0.670 0.371 Ga
0.161 0.876 0.285 Ga
0.300 0.670 0.629 Ga
0.408 0.124 0.285 Ga
0.592 0.876 0.715 Ga
0.700 0.330 0.371 Ga
0.839 0.124 0.715 Ga
0.959 0.330 0.629 Ga
0.279 0.500 0.779 Ir
0.500 0.000 0.500 Ir
0.721 0.500 0.221 Ir

***

HoGa6Ir3, relaxed, DFT PBE; DFT formation energy = -0.466 eV per atom; D(E_F) = 0.3561 states/eV/atom
1.0
8.278 0.000 0.000
0.000 3.978 0.000
-1.886 0.000 10.695
Ho Ga Ir
2 12 6
direct
0.013 0.250 0.223 Ho
0.987 0.750 0.777 Ho
0.136 0.750 0.412 Ga
0.191 0.250 0.934 Ga
0.221 0.250 0.675 Ga
0.343 0.250 0.209 Ga
0.407 0.750 0.608 Ga
0.455 0.750 0.080 Ga
0.545 0.250 0.920 Ga
0.593 0.250 0.392 Ga
0.657 0.750 0.791 Ga
0.779 0.750 0.325 Ga
0.809 0.750 0.066 Ga
0.864 0.250 0.588 Ga
0.137 0.750 0.067 Ir
0.315 0.250 0.455 Ir
0.346 0.750 0.835 Ir
0.654 0.250 0.165 Ir
0.685 0.750 0.545 Ir
0.863 0.250 0.933 Ir

***

Ho8Ga2Ir, relaxed, DFT PBE; DFT formation energy = -0.404 eV per atom; D(E_F) = 0.9471 states/eV/atom
1.0
9.225 -2.462 0.000
9.225 2.462 0.000
-1.447 0.000 6.359
Ho Ga Ir
8 2 1
direct
0.026 0.026 0.283 Ho
0.211 0.211 0.821 Ho
0.348 0.348 0.521 Ho
0.411 0.411 0.052 Ho
0.589 0.589 0.948 Ho
0.652 0.652 0.479 Ho
0.789 0.789 0.179 Ho
0.974 0.974 0.717 Ho
0.187 0.187 0.256 Ga
0.813 0.813 0.744 Ga
0.500 0.500 0.500 Ir

***

Ho4GaIr, relaxed, DFT PBE; DFT formation energy = -0.599 eV per atom; D(E_F) = 0.5384 states/eV/atom
1.0
0.000 6.694 6.694
6.694 0.000 6.694
6.694 6.694 0.000
Ho Ga Ir
16 4 4
direct
0.055 0.055 0.445 Ho
0.055 0.445 0.055 Ho
0.055 0.445 0.445 Ho
0.188 0.604 0.604 Ho
0.189 0.189 0.811 Ho
0.189 0.811 0.189 Ho
0.189 0.811 0.811 Ho
0.445 0.055 0.055 Ho
0.445 0.055 0.445 Ho
0.445 0.445 0.055 Ho
0.604 0.188 0.604 Ho
0.604 0.604 0.188 Ho
0.604 0.604 0.604 Ho
0.811 0.189 0.189 Ho
0.811 0.189 0.811 Ho
0.811 0.811 0.189 Ho
0.502 0.833 0.833 Ga
0.833 0.502 0.833 Ga
0.833 0.833 0.502 Ga
0.833 0.833 0.833 Ga
0.392 0.392 0.392 Ir
0.392 0.392 0.824 Ir
0.392 0.824 0.392 Ir
0.824 0.392 0.392 Ir

***

HoGa3Ir, relaxed, DFT PBE; DFT formation energy = -0.673 eV per atom; D(E_F) = 0.4276 states/eV/atom
1.0
6.418 0.000 0.000
0.000 6.418 0.000
0.000 0.000 6.418
Ho Ga Ir
3 9 3
direct
0.000 0.000 0.500 Ho
0.000 0.500 0.000 Ho
0.500 0.000 0.000 Ho
0.000 0.000 0.000 Ga
0.287 0.287 0.287 Ga
0.287 0.287 0.713 Ga
0.287 0.713 0.287 Ga
0.287 0.713 0.713 Ga
0.713 0.287 0.287 Ga
0.713 0.287 0.713 Ga
0.713 0.713 0.287 Ga
0.713 0.713 0.713 Ga
0.000 0.500 0.500 Ir
0.500 0.000 0.500 Ir
0.500 0.500 0.000 Ir

***

Ho2Ga3Ir, relaxed, DFT PBE; DFT formation energy = -0.749 eV per atom; D(E_F) = 0.5608 states/eV/atom
1.0
5.184 -2.151 0.000
5.184 2.151 0.000
-4.625 0.000 5.316
Ho Ga Ir
2 3 1
direct
0.000 0.000 0.000 Ho
0.098 0.098 0.610 Ho
0.383 0.383 0.218 Ga
0.706 0.706 0.006 Ga
0.717 0.717 0.417 Ga
0.390 0.390 0.616 Ir

***

Ho3Ga9Ir2, relaxed, DFT PBE; DFT formation energy = -0.615 eV per atom; D(E_F) = 0.2629 states/eV/atom
1.0
-2.134 4.751 6.178
2.134 -4.751 6.178
2.134 4.751 -6.178
Ho Ga Ir
3 9 2
direct
0.000 0.000 0.000 Ho
0.298 0.298 0.000 Ho
0.702 0.702 0.000 Ho
0.019 0.654 0.365 Ga
0.147 0.865 0.282 Ga
0.290 0.654 0.635 Ga
0.417 0.135 0.282 Ga
0.500 0.000 0.500 Ga
0.583 0.865 0.718 Ga
0.710 0.346 0.365 Ga
0.853 0.135 0.718 Ga
0.981 0.346 0.635 Ga
0.323 0.500 0.823 Ir
0.677 0.500 0.177 Ir

***

Ho2GaIr, relaxed, DFT PBE; DFT formation energy = -0.742 eV per atom; D(E_F) = 0.4000 states/eV/atom
1.0
3.513 0.000 0.000
0.000 3.513 0.000
0.000 0.000 6.915
Ho Ga Ir
2 1 1
direct
0.000 0.000 0.234 Ho
0.000 0.000 0.766 Ho
0.500 0.500 0.500 Ga
0.500 0.500 0.000 Ir